{"formula": "BaYRh2", "functional": "PBEsol", "state": "relaxed", "lattice": [[-2.045, 2.045, 5.213], [2.045, -2.045, 5.213], [2.045, 2.045, -5.213]], "species": ["Ba", "Y", "Rh", "Rh"], "fractional_positions": [[0.000, 0.000, 0.000], [0.250, 0.750, 0.500], [0.500, 0.500, 0.000], [0.750, 0.250, 0.500]], "sg": "I-4m2, No. 119", "ef_ev_per_atom": 0.031, "vol_a3_per_atom": 21.8}

---

{"formula": "LiCa3Te", "functional": "PBEsol", "state": "relaxed", "lattice": [[5.541, 0.000, 0.000], [0.000, 5.541, 0.000], [0.000, 0.000, 5.541]], "species": ["Li", "Ca", "Ca", "Ca", "Te"], "fractional_positions": [[0.000, 0.000, 0.000], [0.000, 0.000, 0.500], [0.000, 0.500, 0.000], [0.500, 0.000, 0.000], [0.500, 0.500, 0.500]], "formation_energy_uncorrected_ev_per_atom": -0.08, "sg": "Pm-3m, No. 221", "vol_a3_per_atom": 34.0}

---

{"formula": "Ba2SrAl", "functional": "PBEsol", "state": "relaxed", "lattice": [[2.088, 1.206, 12.303], [-2.088, 1.206, 12.303], [0.000, -2.411, 12.303]], "species": ["Ba", "Ba", "Sr", "Al"], "fractional_positions": [[0.233, 0.233, 0.233], [0.767, 0.767, 0.767], [0.000, 0.000, 0.000], [0.500, 0.500, 0.500]], "sg": "R-3m, No. 166", "ef_ev_per_atom": 0.106, "vol_a3_per_atom": 46.5}

---

{"formula": "Sn2HOs", "functional": "PBEsol", "state": "relaxed", "lattice": [[0.000, 3.180, 3.180], [3.180, 0.000, 3.180], [3.180, 3.180, 0.000]], "species": ["Sn", "Sn", "H", "Os"], "fractional_positions": [[0.250, 0.250, 0.250], [0.750, 0.750, 0.750], [0.000, 0.000, 0.000], [0.500, 0.500, 0.500]], "sg": "Fm-3m, No. 225", "e_tot_ev_per_atom": -5.365, "vol_a3_per_atom": 16.1}